No. 1
# YInCo5 | Alexandria | GGA-PBE | relaxed
# ΔH_f (0 K) in eV per atom: 0.26
# Offset from the most stable computed form in eV/atom: 0.000
# Density of states at the Fermi level in states/eV/atom: 1.122
data_YInCo5
_cell_length_a 3.541
_cell_length_b 3.541
_cell_length_c 8.650
_cell_angle_alpha 90.00
_cell_angle_beta 90.00
_cell_angle_gamma 90.00
_symmetry_space_group_name_H-M 'P 4/m m m'
_symmetry_Int_Tables_number 123
_symmetry_space_group_name_Hall '-P 4 2'
loop_
_atom_site_label
_atom_site_fract_x
_atom_site_fract_y
_atom_site_fract_z
_atom_site_occupancy
Y1 0.000 0.000 0.000 1
In1 0.000 0.000 0.500 1
Co1 0.000 0.500 0.265 1
Co2 0.500 0.500 0.500 1


No. 2
# ZrPCl3 | Alexandria | GGA-PBE | relaxed
# Offset from the most stable computed form in eV/atom: 0.884
# Formation energy from raw total energies in eV/atom: 0.357
# Density of states at the Fermi level in states/eV/atom: 1.074
data_ZrPCl3
_cell_length_a 4.930
_cell_length_b 4.930
_cell_length_c 4.930
_cell_angle_alpha 90.00
_cell_angle_beta 90.00
_cell_angle_gamma 90.00
_symmetry_space_group_name_H-M 'P m -3 m'
_symmetry_Int_Tables_number 221
_symmetry_space_group_name_Hall '-P 4 2 3'
loop_
_atom_site_label
_atom_site_fract_x
_atom_site_fract_y
_atom_site_fract_z
_atom_site_occupancy
Zr1 0.000 0.000 0.000 1
P1 0.500 0.500 0.500 1
Cl1 0.000 0.500 0.500 1


No. 3
# Cs3PaTe2O9 | Alexandria | GGA-PBE | relaxed
# Formation energy from raw total energies in eV/atom: -1.744
# Density of states at the Fermi level in states/eV/atom: 0.028
data_Cs3PaTe2O9
_cell_length_a 6.1083
_cell_length_b 6.1083
_cell_length_c 7.4586
_cell_angle_alpha 90.00
_cell_angle_beta 90.00
_cell_angle_gamma 120.00
_symmetry_space_group_name_H-M 'P -3 m 1'
_symmetry_Int_Tables_number 164
_symmetry_space_group_name_Hall '-P 3 2"'
loop_
_atom_site_label
_atom_site_fract_x
_atom_site_fract_y
_atom_site_fract_z
_atom_site_occupancy
Cs1 0.0000 0.0000 0.0000 1
Cs2 0.3333 0.6667 0.6732 1
Pa1 0.0000 0.0000 0.5000 1
Te1 0.3333 0.6667 0.1634 1
O1 0.0000 0.5000 0.0000 1
O2 0.1728 0.3456 0.3310 1